This record from Alexandria via LeMat-Bulk describes a relaxed PrErP2O8 crystal. The functional is PBE.

a b c (Å): 5.2665 5.2665 7.1563
angles (deg): 90.00 90.00 120.00
Space group P-3m1 (No. 164)
Unique sites:
Pr: 0.0000 0.0000 0.0000 (multiplicity 1)
Er: 0.0000 0.0000 0.5000 (multiplicity 1)
P: 0.3333 0.6667 0.7909 (multiplicity 2)
O: 0.1733 0.3466 0.7167 (multiplicity 6)
O: 0.3333 0.6667 0.0047 (multiplicity 2)

As for the density of states at the Fermi level: 0.0 states/eV per cell. The calculation puts the total energy at -7.9015 eV/atom. For the formation energy (no corrections), the calculation gives -3376 kJ/mol of formula units.